# AgTeO3

A relaxed AgTeO3 crystal (PBE, OQMD).

## Properties
Electronic total energy = -0.179 hartree per atom
Crystal system = monoclinic

```
AgTeO3
1.0
6.4512 0.0000 0.0000
0.0000 6.9407 0.0000
-0.0882 0.0000 13.2076
Ag Te O
8 8 24
direct
0.0010 0.1944 0.0561
0.0010 0.3056 0.5561
0.0212 0.0649 0.2951
0.0212 0.4351 0.7951
0.9788 0.5649 0.2049
0.9788 0.9351 0.7049
0.9990 0.6944 0.4439
0.9990 0.8056 0.9439
0.3700 0.6457 0.6424
0.3700 0.8543 0.1424
0.4990 0.1317 0.5929
0.4990 0.3683 0.0929
0.5010 0.6317 0.9071
0.5010 0.8683 0.4071
0.6300 0.1457 0.8576
0.6300 0.3543 0.3576
0.0770 0.6411 0.6351
0.0770 0.8589 0.1351
0.2969 0.6462 0.8005
0.2969 0.8538 0.3005
0.3080 0.1776 0.1406
0.3080 0.3224 0.6406
0.3317 0.0837 0.4679
0.3317 0.4163 0.9679
0.3406 0.5609 0.1670
0.3407 0.6773 0.4815
0.3407 0.8227 0.9815
0.3406 0.9391 0.6670
0.6594 0.0609 0.3330
0.6593 0.1773 0.0185
0.6593 0.3227 0.5185
0.6594 0.4391 0.8330
0.6683 0.5837 0.0321
0.6683 0.9163 0.5321
0.6920 0.6776 0.3594
0.6920 0.8224 0.8594
0.7031 0.1462 0.6995
0.7031 0.3538 0.1995
0.9230 0.1411 0.8649
0.9230 0.3589 0.3649
```

=====

# BaHfSi2

A relaxed BaHfSi2 crystal (PBE, OQMD).

## Properties
Size of the total moment = 0.09 μB per formula unit
Electronic total energy = -0.185 hartree per atom
Crystal system = cubic

```
BaHfSi2
1.0
0.0000 3.5319 3.5319
3.5319 0.0000 3.5319
3.5319 3.5319 0.0000
Ba Hf Si
1 1 2
direct
0.0000 0.0000 0.0000
0.2500 0.2500 0.2500
0.5000 0.5000 0.5000
0.7500 0.7500 0.7500
```

=====

# HfBeTe

A relaxed HfBeTe crystal (PBE, OQMD).

## Properties
Size of the total moment = 0.00 μB per formula unit
Electronic total energy = -0.187 hartree per atom
Crystal system = cubic

```
HfBeTe
1.0
0.0000 3.2616 3.2616
3.2616 0.0000 3.2616
3.2616 3.2616 0.0000
Hf Be Te
1 1 1
direct
0.0000 0.0000 0.0000
0.7500 0.7500 0.7500
0.2500 0.2500 0.2500
```